[1]
This record from the Alexandria database describes a relaxed GaCu3Sn crystal. The functional is PBE.

The structure in extended XYZ format:
```
5
Lattice="4.887 0.000 0.000 0.000 4.887 0.000 0.000 0.000 4.887" Properties=species:S:1:pos:R:3 pbc="T T T"
Sn 0.000 0.000 0.000
Ga 2.443 2.443 2.443
Cu 0.000 0.000 2.443
Cu 2.443 0.000 0.000
Cu 0.000 2.443 0.000
```

energy of formation from the pure elements	650	meV per atom
magnetization	0.0	μB/cell
space-group type	Pm-3m


[2]
This record from the Alexandria database describes a relaxed GaCuSn crystal. The functional is PBE.

The structure in extended XYZ format:
```
6
Lattice="-5.009 1.493 -0.528 0.094 -1.372 -4.840 -1.341 -4.094 1.126" Properties=species:S:1:pos:R:3 pbc="T T T"
Ga -3.404 -2.799 -1.072
Sn -5.133 -0.776 -1.735
Cu -2.201 -1.136 -2.838
Cu -2.184 -0.475 -0.410
Sn -4.215 -0.049 -4.541
Ga -2.281 -3.583 -3.441
```

energy of formation from the pure elements	25	meV per atom
magnetization	0.0	μB/cell
space-group type	P1


[3]
This record from the Alexandria database describes a relaxed GaCuSn crystal. The functional is PBE.

The structure in extended XYZ format:
```
3
Lattice="-1.883 0.854 -3.219 -3.654 -1.046 1.860 1.425 3.978 0.222" Properties=species:S:1:pos:R:3 pbc="T T T"
Sn -0.070 0.032 -0.120
Cu -1.056 2.661 -0.579
Ga -2.986 1.094 -0.438
```

energy of formation from the pure elements	88	meV per atom
magnetization	0.0	μB/cell
space-group type	P3m1